No. 1
The following is a PBEsol calculation of crystalline ScCrCu2Hg at its relaxed geometry, from Alexandria via LeMat-Bulk.

a b c (Å): 4.638 4.638 4.565
angles (deg): 90.00 90.00 90.00
Site moments in Bohr magnetons follow the coordinates.
Fractional positions:
Cu (0.500, 0.000, 0.000)  0.00
Sc (0.000, 0.000, 0.000)  -0.06
Hg (0.500, 0.500, 0.500)  -0.03
Cr (0.000, 0.000, 0.500)  2.97
Cu (0.000, 0.500, 0.000)  0.00

Output
Its total energy is -3.89 eV per atom. The density is 7.2 g cm⁻³. The value obtained for the formation energy is 1326 meV per atom.

No. 2
The following is a PBEsol calculation of crystalline CoCuNi2 at its relaxed geometry, from Alexandria via LeMat-Bulk.

a b c (Å): 2.451 4.269 4.269
angles (deg): 108.98 90.00 90.00
Site moments in Bohr magnetons follow the coordinates.
Fractional positions:
Cu (0.500, 0.500, 0.500)  0.53
Ni (0.000, 0.500, 0.000)  1.61
Co (0.500, 0.000, 0.000)  0.53
Ni (0.000, 0.000, 0.500)  0.04

Output
Its total energy is -6.03 eV per atom. The density is 9.4 g cm⁻³. The value obtained for the formation energy is 62 meV per atom.

No. 3
The following is a PBEsol calculation of crystalline Al2CuW at its relaxed geometry, from Alexandria via LeMat-Bulk.

a b c (Å): 2.804 2.804 8.738
angles (deg): 80.77 80.77 60.00
Fractional positions:
W (0.247, 0.247, 0.258)
Al (0.000, 0.000, 0.001)
Al (0.755, 0.755, 0.734)
Cu (0.498, 0.498, 0.507)

Output
Its total energy is -6.50 eV per atom. The excess energy over the best structure of this formula in the dataset is 0.151 eV per atom. The density is 8.6 g cm⁻³. The value obtained for the formation energy is 81 meV per atom.

Which value of density does entry 3 give?
8.6 g cm⁻³

The highest total energy belongs to which entry?
ScCrCu2Hg

Which of these has the lowest density?
ScCrCu2Hg

What is the total energy in the third record?
-6.50 eV per atom